No. 1
# Dy5Cd2RuRh2

Dy5Cd2RuRh2 after structural relaxation (PBE-GGA, Alexandria).

Summary:
- formation energy (meV/atom) = -488

Structure (CIF):
```
data_Dy5Cd2RuRh2
_symmetry_space_group_name_H-M 'P 4/m b m'
_symmetry_Int_Tables_number 127
_symmetry_space_group_name_Hall '-P 4 2ab'
_cell_length_a 11.5612
_cell_length_b 11.5612
_cell_length_c 3.5423
_cell_angle_alpha 90.00
_cell_angle_beta 90.00
_cell_angle_gamma 90.00
loop_
_atom_site_label
_atom_site_type_symbol
_atom_site_fract_x
_atom_site_fract_y
_atom_site_fract_z
_atom_site_occupancy
Dy1 Dy 0.0000 0.5000 0.0000 1
Dy2 Dy 0.0677 0.1944 0.0000 1
Cd1 Cd 0.1783 0.6783 0.5000 1
Ru1 Ru 0.0000 0.0000 0.5000 1
Rh1 Rh 0.1322 0.3678 0.5000 1
```

***

No. 2
# CaScMo2

CaScMo2 after structural relaxation (PBE-GGA, Alexandria).

Summary:
- formation energy (meV/atom) = 1126

Structure (CIF):
```
data_CaScMo2
_symmetry_space_group_name_H-M 'I -4 2 d'
_symmetry_Int_Tables_number 122
_symmetry_space_group_name_Hall 'I -4 2bw'
_cell_length_a 7.7617
_cell_length_b 7.7617
_cell_length_c 5.5430
_cell_angle_alpha 90.00
_cell_angle_beta 90.00
_cell_angle_gamma 90.00
loop_
_atom_site_label
_atom_site_type_symbol
_atom_site_fract_x
_atom_site_fract_y
_atom_site_fract_z
_atom_site_occupancy
Ca1 Ca 0.0000 0.0000 0.0000 1
Sc1 Sc 0.0000 0.0000 0.5000 1
Mo1 Mo 0.2342 0.7500 0.6250 1
```

***

No. 3
# CaHf2ZnCo

CaHf2ZnCo after structural relaxation (PBE-GGA, Alexandria).

Summary:
- formation energy (meV/atom) = 2047

Structure (CIF):
```
data_CaHf2ZnCo
_symmetry_space_group_name_H-M 'P 4/m m m'
_symmetry_Int_Tables_number 123
_symmetry_space_group_name_Hall '-P 4 2'
_cell_length_a 5.0262
_cell_length_b 5.0262
_cell_length_c 4.8126
_cell_angle_alpha 90.00
_cell_angle_beta 90.00
_cell_angle_gamma 90.00
loop_
_atom_site_label
_atom_site_type_symbol
_atom_site_fract_x
_atom_site_fract_y
_atom_site_fract_z
_atom_site_occupancy
Ca1 Ca 0.0000 0.0000 0.0000 1
Hf1 Hf 0.0000 0.5000 0.0000 1
Zn1 Zn 0.0000 0.0000 0.5000 1
Co1 Co 0.5000 0.5000 0.5000 1
```

***

| no. | calculated total energy (eV per cell) |
| --- | --- |
| 1 | -107.4 |
| 2 | -102.0 |
| 3 | -20.1 |